Crystalline Tl2BiIr at its relaxed geometry. Source: Alexandria via LeMat-Bulk, functional PBE-GGA.

Lattice parameters (Å, degrees): 6.467 6.467 8.148 66.62 66.62 90.00
Positions (direct):
Ir1 0.500 0.500 0.000
Tl1 0.570 0.125 0.250
Ir2 0.250 0.750 0.500
Bi1 0.000 0.000 0.000
Tl2 0.375 0.430 0.750
Tl3 0.875 0.820 0.750
Bi2 0.750 0.250 0.500
Tl4 0.180 0.625 0.250

Values from the calculation:
V ... 282.1 Å³ per cell
Formation energy ... 0.7596 eV/atom
Energy above the most stable polymorph in this dataset ... 136 meV per atom